{"formula": "As2OsSeF", "functional": "GGA-PBE", "state": "optimized geometry", "lattice_angstrom": [[4.2878, 0.0000, 0.0000], [0.0000, 4.2878, 0.0000], [0.0000, 0.0000, 4.6561]], "species": ["As", "As", "Os", "Se", "F"], "fractional_positions": [[0.0000, 0.5000, 0.0000], [0.5000, 0.0000, 0.0000], [0.0000, 0.0000, 0.5000], [0.5000, 0.5000, 0.5000], [0.5000, 0.5000, 0.0000]], "volume_a3_per_cell": 85.6, "de_polymorph_mev_per_atom": 496.9, "crystal_system": "tetragonal", "e_form_raw_ev_per_atom": 0.8855}